Entry 1:
This record from Alexandria describes MgZn2Si after structural relaxation. The functional is GGA-PBE.

Results
- E above lowest polymorph (meV/atom) = 132

Lattice parameters (Å, degrees): 4.035 4.035 17.874 90.00 90.00 90.00
Space group I-42d (No. 122)
Asymmetric unit:
Mg1 0.000 0.000 0.000 (multiplicity 4)
Zn1 0.231 0.250 0.625 (multiplicity 8)
Si1 0.000 0.000 0.500 (multiplicity 4)

***

Entry 2:
This record from Alexandria describes Ac2BiSbO8 after structural relaxation. The functional is GGA-PBE.

Results
- E_tot (eV/cell) = -79.80

Lattice parameters (Å, degrees): 5.298 5.300 7.059 90.28 90.31 93.14
Space group P-1 (No. 2)
Asymmetric unit:
Ac1 0.040 0.040 0.257 (multiplicity 2)
Bi1 0.500 0.500 0.000 (multiplicity 1)
Sb1 0.500 0.500 0.500 (multiplicity 1)
O1 0.217 0.215 0.969 (multiplicity 2)
O2 0.234 0.232 0.536 (multiplicity 2)
O3 0.297 0.640 0.266 (multiplicity 2)
O4 0.359 0.702 0.734 (multiplicity 2)

***

Entry 3:
This record from Alexandria describes ZrNb5Ru6 after structural relaxation. The functional is GGA-PBE.

Results
- E_tot (eV/cell) = -117.93

Lattice parameters (Å, degrees): 4.565 6.227 7.115 90.00 104.45 90.00
Space group P2/m (No. 10)
Asymmetric unit:
Zr1 0.000 0.000 0.000 (multiplicity 1)
Nb1 0.000 0.500 0.000 (multiplicity 1)
Nb2 0.356 0.500 0.655 (multiplicity 2)
Nb3 0.357 0.000 0.652 (multiplicity 2)
Ru1 0.126 0.253 0.319 (multiplicity 4)
Ru2 0.500 0.256 0.000 (multiplicity 2)

***

Entry 4:
This record from Alexandria describes MgTa2W after structural relaxation. The functional is GGA-PBE.

Results
- E_tot (eV/cell) = -36.92

Lattice parameters (Å, degrees): 2.744 4.436 5.912 90.00 90.00 90.00
Space group Pmmm (No. 47)
Asymmetric unit:
Mg1 0.000 0.000 0.000 (multiplicity 1)
Ta1 0.500 0.500 0.257 (multiplicity 2)
W1 0.000 0.000 0.500 (multiplicity 1)

***

Entry 5:
This record from Alexandria describes EuYAlTl after structural relaxation. The functional is GGA-PBE.

Results
- E_tot (eV/cell) = -96.33

Lattice parameters (Å, degrees): 7.592 7.592 7.592 90.00 90.00 90.00
Space group F-43m (No. 216)
Asymmetric unit:
Eu1 0.000 0.000 0.000 (multiplicity 4)
Y1 0.000 0.000 0.500 (multiplicity 4)
Al1 0.250 0.250 0.750 (multiplicity 4)
Tl1 0.250 0.250 0.250 (multiplicity 4)

***

Entry 6:
This record from Alexandria describes LaPu2Ge2Au2 after structural relaxation. The functional is GGA-PBE.

Results
- E_tot (eV/cell) = -159.23

Lattice parameters (Å, degrees): 4.6026 4.6026 26.3023 90.00 90.00 120.00
Space group R-3m (No. 166, hexagonal axes)
Asymmetric unit:
La1 0.0000 0.0000 0.0000 (multiplicity 3)
Pu1 0.0000 0.0000 0.1421 (multiplicity 6)
Ge1 0.0000 0.0000 0.2616 (multiplicity 6)
Au1 0.0000 0.0000 0.4218 (multiplicity 6)

***

Entry 7:
This record from Alexandria describes Pm4Sm7Dy after structural relaxation. The functional is GGA-PBE.

Results
- E above lowest polymorph (meV/atom) = 206

Lattice parameters (Å, degrees): 16.344 6.025 9.364 90.00 116.12 90.00
Space group C2/m (No. 12)
Asymmetric unit:
Pm1 0.075 0.000 0.201 (multiplicity 4)
Pm2 0.174 0.000 0.888 (multiplicity 4)
Sm1 0.000 0.000 0.500 (multiplicity 2)
Sm2 0.081 0.500 0.937 (multiplicity 4)
Sm3 0.208 0.500 0.725 (multiplicity 4)
Sm4 0.211 0.500 0.376 (multiplicity 4)
Dy1 0.000 0.500 0.500 (multiplicity 2)

***

Entry 8:
This record from Alexandria describes PaSiB after structural relaxation. The functional is GGA-PBE.

Results
- E above lowest polymorph (meV/atom) = 513

Lattice parameters (Å, degrees): 13.919 4.180 3.239 90.00 90.17 90.00
Space group C2/m (No. 12)
Asymmetric unit:
Pa1 0.177 0.000 0.251 (multiplicity 4)
Si1 0.093 0.500 0.750 (multiplicity 4)
B1 0.026 0.000 0.750 (multiplicity 4)

***

Entry 9:
This record from Alexandria describes Th3Si2H after structural relaxation. The functional is GGA-PBE.

Results
- E_tot (eV/cell) = -158.05

Lattice parameters (Å, degrees): 9.431 7.721 7.510 90.00 104.27 90.00
Space group C2/c (No. 15)
Asymmetric unit:
Th1 0.000 0.088 0.250 (multiplicity 4)
Th2 0.147 0.417 0.964 (multiplicity 8)
Si1 0.175 0.218 0.635 (multiplicity 8)
H1 0.000 0.398 0.250 (multiplicity 4)

***

Entry 10:
This record from Alexandria describes Tm3Sn3Pb after structural relaxation. The functional is GGA-PBE.

Results
- E_tot (eV/cell) = -63.17

Lattice parameters (Å, degrees): 8.8805 8.8805 5.4614 90.00 90.00 120.00
Space group P6_3/m (No. 176)
Asymmetric unit:
Tm1 0.0889 0.4422 0.2500 (multiplicity 6)
Sn1 0.0431 0.2385 0.7500 (multiplicity 6)
Pb1 0.3333 0.6667 0.7500 (multiplicity 2)

***

Entry 11:
This record from Alexandria describes BaAuSe2I after structural relaxation. The functional is GGA-PBE.

Results
- E_tot (eV/cell) = -15.41

Lattice parameters (Å, degrees): 5.694 5.694 5.227 90.00 90.00 90.00
Space group P4/mmm (No. 123)
Asymmetric unit:
Ba1 0.000 0.000 0.000 (multiplicity 1)
Au1 0.500 0.500 0.000 (multiplicity 1)
Se1 0.000 0.500 0.500 (multiplicity 2)
I1 0.500 0.500 0.500 (multiplicity 1)

***

Entry 12:
This record from Alexandria describes Li2Zn3Cd after structural relaxation. The functional is GGA-PBE.

Results
- E_tot (eV/cell) = -18.87

Lattice parameters (Å, degrees): 4.908 4.923 8.620 98.93 99.02 107.55
Space group P-1 (No. 2)
Asymmetric unit:
Li1 0.041 0.300 0.094 (multiplicity 2)
Li2 0.298 0.039 0.593 (multiplicity 2)
Zn1 0.210 0.457 0.425 (multiplicity 2)
Zn2 0.380 0.615 0.749 (multiplicity 2)
Zn3 0.456 0.209 0.926 (multiplicity 2)
Cd1 0.125 0.877 0.249 (multiplicity 2)

***

Entry 13:
This record from Alexandria describes Li2CoBr after structural relaxation. The functional is GGA-PBE.

Results
- E above lowest polymorph (meV/atom) = 0

Lattice parameters (Å, degrees): 4.657 4.673 6.116 90.00 90.00 90.00
Space group Cmmm (No. 65)
Asymmetric unit:
Li1 0.000 0.000 0.247 (multiplicity 4)
Co1 0.000 0.500 0.000 (multiplicity 2)
Br1 0.000 0.500 0.500 (multiplicity 2)

***

Entry 14:
This record from Alexandria describes AcSn2SbPd2 after structural relaxation. The functional is GGA-PBE.

Results
- E_tot (eV/cell) = -28.80

Lattice parameters (Å, degrees): 5.056 5.056 6.387 90.00 90.00 90.00
Space group P4/mmm (No. 123)
Asymmetric unit:
Ac1 0.000 0.000 0.000 (multiplicity 1)
Sn1 0.500 0.500 0.236 (multiplicity 2)
Sb1 0.000 0.000 0.500 (multiplicity 1)
Pd1 0.000 0.500 0.500 (multiplicity 2)

***

Entry 15:
This record from Alexandria describes Pm4Zn2C after structural relaxation. The functional is GGA-PBE.

Results
- E_tot (eV/cell) = -45.32

Lattice parameters (Å, degrees): 4.766 4.766 41.024 90.00 90.00 90.00
Space group I4/mmm (No. 139)
Asymmetric unit:
Pm1 0.000 0.000 0.122 (multiplicity 4)
Pm2 0.000 0.500 0.000 (multiplicity 4)
Zn1 0.000 0.000 0.051 (multiplicity 4)
C1 0.000 0.000 0.500 (multiplicity 2)

***

Entry 16:
This record from Alexandria describes TiC2Cl after structural relaxation. The functional is GGA-PBE.

Results
- E above lowest polymorph (meV/atom) = 560

Lattice parameters (Å, degrees): 5.677 5.677 5.677 90.00 90.00 90.00
Space group Fm-3m (No. 225)
Asymmetric unit:
Ti1 0.000 0.000 0.000 (multiplicity 4)
C1 0.250 0.250 0.250 (multiplicity 8)
Cl1 0.000 0.000 0.500 (multiplicity 4)

***

Entry 17:
This record from Alexandria describes MoAsSe2S after structural relaxation. The functional is GGA-PBE.

Results
- E above lowest polymorph (meV/atom) = 467

Lattice parameters (Å, degrees): 4.941 4.941 4.441 90.00 90.00 90.00
Space group P4/mmm (No. 123)
Asymmetric unit:
Mo1 0.000 0.000 0.000 (multiplicity 1)
As1 0.500 0.500 0.000 (multiplicity 1)
Se1 0.000 0.500 0.500 (multiplicity 2)
S1 0.000 0.000 0.500 (multiplicity 1)

***

Entry 18:
This record from Alexandria describes La2InSiPd6 after structural relaxation. The functional is GGA-PBE.

Results
- E_tot (eV/cell) = -113.18

Lattice parameters (Å, degrees): 5.647 8.880 8.490 90.00 90.00 90.00
Space group Pmmn (No. 59, origin choice 2)
Asymmetric unit:
La1 0.250 0.002 0.237 (multiplicity 4)
In1 0.250 0.250 0.785 (multiplicity 2)
Si1 0.250 0.750 0.725 (multiplicity 2)
Pd1 0.002 0.250 0.507 (multiplicity 4)
Pd2 0.004 0.750 0.952 (multiplicity 4)
Pd3 0.250 0.502 0.601 (multiplicity 4)

***

Entry 19:
This record from Alexandria describes ZrTiBi2 after structural relaxation. The functional is GGA-PBE.

Results
- E above lowest polymorph (meV/atom) = 577

Lattice parameters (Å, degrees): 6.547 6.547 13.416 90.00 90.00 90.00
Space group I-42d (No. 122)
Asymmetric unit:
Zr1 0.000 0.000 0.000 (multiplicity 4)
Ti1 0.000 0.000 0.500 (multiplicity 4)
Bi1 0.238 0.250 0.625 (multiplicity 8)

***

Entry 20:
This record from Alexandria describes ScZnOs2 after structural relaxation. The functional is GGA-PBE.

Results
- E_tot (eV/cell) = -87.82

Lattice parameters (Å, degrees): 2.8640 2.8640 27.0812 90.00 90.00 120.00
Space group R3m (No. 160, hexagonal axes)
Asymmetric unit:
Sc1 0.0000 0.0000 0.0000 (multiplicity 3)
Zn1 0.0000 0.0000 0.7576 (multiplicity 3)
Os1 0.0000 0.0000 0.2473 (multiplicity 3)
Os2 0.0000 0.0000 0.5052 (multiplicity 3)